No. 1
Here is a relaxed structure of CeTm3Tl4Te8 from Alexandria via LeMat-Bulk. Energies are from PBE.

Cell: 8.9152 8.9152 24.5760 Å, 90.00 90.00 120.00°
Closest atoms and distances in Å follow each position.
Space group R-3m (No. 166, hexagonal axes)
Symmetry-distinct sites (fractional):
Ce1 0.0000 0.0000 0.0000 [3 per cell]  6 Te 3.18
Tm1 0.0000 0.5000 0.0000 [9 per cell]  6 Te 3.08-3.09
Tl1 0.0000 0.0000 0.5000 [3 per cell]  6 Te 3.43
Tl2 0.0000 0.5000 0.5000 [9 per cell]  6 Te 3.51
Te1 0.0000 0.0000 0.2637 [6 per cell]  3 Tm 3.09
Te2 0.0102 0.5051 0.2622 [18 per cell]  2 Tm 3.08, 1 Ce 3.18, 1 Tl 3.43

Output
E ... -4.39 eV per atom
Uncorrected formation energy ... -1.0163 eV/atom

---

No. 2
Here is a relaxed structure of Th2CuHgC from Alexandria via LeMat-Bulk. Energies are from PBE.

Cell: 7.1288 3.8556 8.5375 Å, 90.00 106.78 90.00°
Closest atoms and distances in Å follow each position.
Space group P2_1/m (No. 11)
Symmetry-distinct sites (fractional):
Th1 0.1828 0.2500 0.3720 [2 per cell]  2 C 2.57
Th2 0.2049 0.2500 0.9644 [2 per cell]  3 C 2.42-2.70
Cu1 0.4380 0.7500 0.2397 [2 per cell]  1 C 2.00
Hg1 0.3020 0.7500 0.6881 [2 per cell]  2 Cu 2.62
C1 0.1456 0.7500 0.1657 [2 per cell]  1 Cu 2.00

Output
E ... -5.87 eV per atom
Formation enthalpy at 0 K ... -0.181 eV per atom

---

- What is the E in the second record?
  -5.87 eV per atom